1.
{"formula": "Pa2ZnNi2", "functional": "PBE", "state": "optimized geometry", "sg": "Immm (71)", "lattice": [[-2.144, 2.797, 3.749], [2.144, -2.797, 3.749], [2.144, 2.797, -3.749]], "species": ["Pa", "Pa", "Zn", "Ni", "Ni"], "frac_coords": [[0.198, 0.198, 0.000], [0.802, 0.802, 0.000], [0.500, 0.000, 0.500], [0.230, 0.500, 0.730], [0.770, 0.500, 0.270]]}

2.
{"formula": "AcHoGa", "functional": "PBE", "state": "optimized geometry", "sg": "F-43m (216)", "lattice": [[0.000, 3.676, 3.676], [3.676, 0.000, 3.676], [3.676, 3.676, 0.000]], "species": ["Ac", "Ho", "Ga"], "frac_coords": [[0.000, 0.000, 0.000], [0.500, 0.500, 0.500], [0.750, 0.750, 0.750]]}

3.
{"formula": "Tm3Sc5", "functional": "PBE", "state": "optimized geometry", "sg": "Pmm2 (25)", "lattice": [[3.415, 0.000, 0.000], [0.000, 5.304, 0.000], [0.000, 0.000, 11.776]], "species": ["Tm", "Tm", "Tm", "Sc", "Sc", "Sc", "Sc", "Sc"], "frac_coords": [[0.000, 0.000, 0.000], [0.000, 0.500, 0.176], [0.500, 0.000, 0.267], [0.000, 0.000, 0.515], [0.000, 0.500, 0.676], [0.500, 0.000, 0.752], [0.500, 0.500, 0.435], [0.500, 0.500, 0.916]]}

The energy of formation results, record by record, are as follows: -286.2 -170.2 16.6 meV/atom.
The size of the total moment results, record by record, are as follows: 0.00 0.00 0.01 μB/atom.